A geometry-optimized Fe2B2O5 structure. Source: Alexandria, functional PBE with a Hubbard U.

Cell lengths 3.297, 6.222, 9.504 Å; angles 104.52, 91.10, 91.45 degrees
Element x y z (fractional)
Fe: 0.236 0.209 0.362
Fe: 0.262 0.635 0.898
Fe: 0.738 0.365 0.102
Fe: 0.764 0.791 0.638
B: 0.161 0.125 0.831
B: 0.198 0.679 0.354
B: 0.802 0.321 0.646
B: 0.839 0.875 0.169
O: 0.066 0.857 0.296
O: 0.238 0.308 0.943
O: 0.246 0.474 0.261
O: 0.262 0.727 0.500
O: 0.275 0.913 0.819
O: 0.725 0.087 0.181
O: 0.738 0.273 0.500
O: 0.754 0.526 0.739
O: 0.762 0.692 0.057
O: 0.934 0.143 0.704

Results
- Final energy: -7.497 eV per atom
- Spin magnetization: 16.0 μB/cell